This record from the Alexandria database describes a geometry-optimized Ce3Hg structure. The functional is PBE.

```
data_Ce3Hg
_symmetry_space_group_name_H-M 'P m -3 m'
_symmetry_Int_Tables_number 221
_symmetry_space_group_name_Hall '-P 4 2 3'
_cell_length_a 4.775
_cell_length_b 4.775
_cell_length_c 4.775
_cell_angle_alpha 90.00
_cell_angle_beta 90.00
_cell_angle_gamma 90.00
loop_
_atom_site_label
_atom_site_type_symbol
_atom_site_fract_x
_atom_site_fract_y
_atom_site_fract_z
_atom_site_occupancy
Ce1 Ce 0.000 0.000 0.500 1
Hg1 Hg 0.500 0.500 0.500 1
```

Calculated values
D(E_F), states/eV/atom: 3.422
ρ, Mg/m³: 9.47
Calculated total energy, eV for the cell shown: -18.441
ΔE_f, kJ per mole of atoms: -8.1

This record from the Alexandria database describes a geometry-optimized CeHg5 structure. The functional is PBE.

```
data_CeHg5
_symmetry_space_group_name_H-M 'C m m m'
_symmetry_Int_Tables_number 65
_symmetry_space_group_name_Hall '-C 2 2'
_cell_length_a 4.699
_cell_length_b 13.422
_cell_length_c 4.906
_cell_angle_alpha 90.00
_cell_angle_beta 90.00
_cell_angle_gamma 90.00
loop_
_atom_site_label
_atom_site_type_symbol
_atom_site_fract_x
_atom_site_fract_y
_atom_site_fract_z
_atom_site_occupancy
Ce1 Ce 0.000 0.000 0.000 1
Hg1 Hg 0.000 0.166 0.500 1
Hg2 Hg 0.000 0.330 0.000 1
Hg3 Hg 0.000 0.500 0.500 1
```

Calculated values
D(E_F), states/eV/atom: 1.573
ρ, Mg/m³: 12.27
Calculated total energy, eV for the cell shown: -17.266
ΔE_f, kJ per mole of atoms: -19.1

This record from the Alexandria database describes a geometry-optimized Ce3Hg structure. The functional is PBE.

```
data_Ce3Hg
_symmetry_space_group_name_H-M 'I m m 2'
_symmetry_Int_Tables_number 44
_cell_length_a 3.327
_cell_length_b 10.884
_cell_length_c 5.794
_cell_angle_alpha 90.00
_cell_angle_beta 90.00
_cell_angle_gamma 90.00
loop_
_symmetry_equiv_pos_as_xyz
'x,y,z'
'-x,-y,z'
'-x,y,z'
'x,-y,z'
'x+1/2,y+1/2,z+1/2'
'-x+1/2,-y+1/2,z+1/2'
'-x+1/2,y+1/2,z+1/2'
'x+1/2,-y+1/2,z+1/2'
loop_
_atom_site_label
_atom_site_type_symbol
_atom_site_fract_x
_atom_site_fract_y
_atom_site_fract_z
_atom_site_occupancy
Ce1 Ce 0.000 0.000 0.000 1
Ce2 Ce 0.000 0.221 0.276 1
Hg1 Hg 0.000 0.500 0.022 1
```

Calculated values
D(E_F), states/eV/atom: 2.414
ρ, Mg/m³: 9.83
Calculated total energy, eV for the cell shown: -37.287
ΔE_f, kJ per mole of atoms: -13.0

This record from the Alexandria database describes a geometry-optimized Ce2HoHg structure. The functional is PBE.

```
data_Ce2HoHg
_symmetry_space_group_name_H-M 'P 4/m m m'
_symmetry_Int_Tables_number 123
_symmetry_space_group_name_Hall '-P 4 2'
_cell_length_a 4.490
_cell_length_b 4.490
_cell_length_c 5.280
_cell_angle_alpha 90.00
_cell_angle_beta 90.00
_cell_angle_gamma 90.00
loop_
_atom_site_label
_atom_site_type_symbol
_atom_site_fract_x
_atom_site_fract_y
_atom_site_fract_z
_atom_site_occupancy
Ce1 Ce 0.000 0.500 0.000 1
Ho1 Ho 0.000 0.000 0.500 1
Hg1 Hg 0.500 0.500 0.500 1
```

Calculated values
D(E_F), states/eV/atom: 2.657
ρ, Mg/m³: 10.07
Calculated total energy, eV for the cell shown: -17.208
ΔE_f, kJ per mole of atoms: -11.1
Polymorph energy (0 for the lowest one), meV/atom: 0.0

This record from the Alexandria database describes a geometry-optimized CeHoHg structure. The functional is PBE.

```
data_CeHoHg
_symmetry_space_group_name_H-M 'P 1 21/c 1'
_symmetry_Int_Tables_number 14
_cell_length_a 8.342
_cell_length_b 6.025
_cell_length_c 6.796
_cell_angle_alpha 90.00
_cell_angle_beta 104.35
_cell_angle_gamma 90.00
loop_
_symmetry_equiv_pos_as_xyz
'x,y,z'
'-x,-y,-z'
'-x,y+1/2,-z+1/2'
'x,-y+1/2,z+1/2'
loop_
_atom_site_label
_atom_site_type_symbol
_atom_site_fract_x
_atom_site_fract_y
_atom_site_fract_z
_atom_site_occupancy
Ce1 Ce 0.035 0.080 0.201 1
Ho1 Ho 0.345 0.657 0.131 1
Hg1 Hg 0.340 0.161 0.994 1
```

Calculated values
D(E_F), states/eV/atom: 2.257
ρ, Mg/m³: 10.15
Calculated total energy, eV for the cell shown: -45.820
ΔE_f, kJ per mole of atoms: -20.6
Polymorph energy (0 for the lowest one), meV/atom: 0.0

This record from the Alexandria database describes a geometry-optimized CeHo3Hg2 structure. The functional is PBE.

```
data_CeHo3Hg2
_symmetry_space_group_name_H-M 'P 4/m m m'
_symmetry_Int_Tables_number 123
_symmetry_space_group_name_Hall '-P 4 2'
_cell_length_a 3.640
_cell_length_b 3.640
_cell_length_c 12.173
_cell_angle_alpha 90.00
_cell_angle_beta 90.00
_cell_angle_gamma 90.00
loop_
_atom_site_label
_atom_site_type_symbol
_atom_site_fract_x
_atom_site_fract_y
_atom_site_fract_z
_atom_site_occupancy
Ce1 Ce 0.000 0.000 0.000 1
Ho1 Ho 0.500 0.500 0.189 1
Ho2 Ho 0.500 0.500 0.500 1
Hg1 Hg 0.000 0.000 0.343 1
```

Calculated values
D(E_F), states/eV/atom: 1.342
ρ, Mg/m³: 10.66
Calculated total energy, eV for the cell shown: -22.000
ΔE_f, kJ per mole of atoms: -27.8

This record from the Alexandria database describes a geometry-optimized CeHo3Hg4 structure. The functional is PBE.

```
data_CeHo3Hg4
_symmetry_space_group_name_H-M 'P m m a'
_symmetry_Int_Tables_number 51
_cell_length_a 10.500
_cell_length_b 7.607
_cell_length_c 5.248
_cell_angle_alpha 90.00
_cell_angle_beta 90.00
_cell_angle_gamma 90.00
loop_
_symmetry_equiv_pos_as_xyz
'x,y,z'
'-x,-y,-z'
'-x+1/2,-y,z'
'x+1/2,y,-z'
'x+1/2,-y,-z'
'-x+1/2,y,z'
'-x,y,-z'
'x,-y,z'
loop_
_atom_site_label
_atom_site_type_symbol
_atom_site_fract_x
_atom_site_fract_y
_atom_site_fract_z
_atom_site_occupancy
Ce1 Ce 0.000 0.000 0.000 1
Ho1 Ho 0.000 0.500 0.000 1
Ho2 Ho 0.250 0.000 0.499 1
Ho3 Ho 0.250 0.500 0.499 1
Hg1 Hg 0.000 0.261 0.500 1
Hg2 Hg 0.250 0.261 0.999 1
```

Calculated values
D(E_F), states/eV/atom: 1.863
ρ, Mg/m³: 11.39
Calculated total energy, eV for the cell shown: -48.454
ΔE_f, kJ per mole of atoms: -40.4

This record from the Alexandria database describes a geometry-optimized CeHo2Hg3 structure. The functional is PBE.

```
data_CeHo2Hg3
_symmetry_space_group_name_H-M 'P 4/m m m'
_symmetry_Int_Tables_number 123
_symmetry_space_group_name_Hall '-P 4 2'
_cell_length_a 3.703
_cell_length_b 3.703
_cell_length_c 11.505
_cell_angle_alpha 90.00
_cell_angle_beta 90.00
_cell_angle_gamma 90.00
loop_
_atom_site_label
_atom_site_type_symbol
_atom_site_fract_x
_atom_site_fract_y
_atom_site_fract_z
_atom_site_occupancy
Ce1 Ce 0.000 0.000 0.000 1
Ho1 Ho 0.000 0.000 0.339 1
Hg1 Hg 0.500 0.500 0.182 1
Hg2 Hg 0.500 0.500 0.500 1
```

Calculated values
D(E_F), states/eV/atom: 1.856
ρ, Mg/m³: 11.28
Calculated total energy, eV for the cell shown: -18.509
ΔE_f, kJ per mole of atoms: -40.4

This record from the Alexandria database describes a geometry-optimized CeHoHg structure. The functional is PBE.

```
data_CeHoHg
_symmetry_space_group_name_H-M 'I 4 m m'
_symmetry_Int_Tables_number 107
_symmetry_space_group_name_Hall 'I 4 -2'
_cell_length_a 3.566
_cell_length_b 3.566
_cell_length_c 13.332
_cell_angle_alpha 90.00
_cell_angle_beta 90.00
_cell_angle_gamma 90.00
loop_
_atom_site_label
_atom_site_type_symbol
_atom_site_fract_x
_atom_site_fract_y
_atom_site_fract_z
_atom_site_occupancy
Ce1 Ce 0.000 0.000 0.000 1
Ho1 Ho 0.000 0.000 0.310 1
Hg1 Hg 0.000 0.000 0.666 1
```

Calculated values
D(E_F), states/eV/atom: 2.416
ρ, Mg/m³: 9.90
Calculated total energy, eV for the cell shown: -22.863
ΔE_f, kJ per mole of atoms: -19.9
Polymorph energy (0 for the lowest one), meV/atom: 7.8

This record from the Alexandria database describes a geometry-optimized CeHoHg structure. The functional is PBE.

```
data_CeHoHg
_symmetry_space_group_name_H-M 'P 3 m 1'
_symmetry_Int_Tables_number 156
_cell_length_a 5.3144
_cell_length_b 5.3144
_cell_length_c 3.1071
_cell_angle_alpha 90.00
_cell_angle_beta 90.00
_cell_angle_gamma 120.00
loop_
_symmetry_equiv_pos_as_xyz
'x,y,z'
'-y,x-y,z'
'-x+y,-x,z'
'-y,-x,z'
'-x+y,y,z'
'x,x-y,z'
loop_
_atom_site_label
_atom_site_type_symbol
_atom_site_fract_x
_atom_site_fract_y
_atom_site_fract_z
_atom_site_occupancy
Ce1 Ce 0.0000 0.0000 0.0000 1
Ho1 Ho 0.3333 0.6667 0.0033 1
Hg1 Hg 0.6667 0.3333 0.5018 1
```

Calculated values
D(E_F), states/eV/atom: 2.096
ρ, Mg/m³: 11.05
Calculated total energy, eV for the cell shown: -10.767
ΔE_f, kJ per mole of atoms: 1.5
Polymorph energy (0 for the lowest one), meV/atom: 229.5

This record from the Alexandria database describes a geometry-optimized Ce4HoHg5 structure. The functional is PBE.

```
data_Ce4HoHg5
_symmetry_space_group_name_H-M 'P 4/m m m'
_symmetry_Int_Tables_number 123
_symmetry_space_group_name_Hall '-P 4 2'
_cell_length_a 3.720
_cell_length_b 3.720
_cell_length_c 19.837
_cell_angle_alpha 90.00
_cell_angle_beta 90.00
_cell_angle_gamma 90.00
loop_
_atom_site_label
_atom_site_type_symbol
_atom_site_fract_x
_atom_site_fract_y
_atom_site_fract_z
_atom_site_occupancy
Ce1 Ce 0.000 0.000 0.101 1
Ce2 Ce 0.000 0.000 0.305 1
Ho1 Ho 0.000 0.000 0.500 1
Hg1 Hg 0.500 0.500 0.000 1
Hg2 Hg 0.500 0.500 0.203 1
Hg3 Hg 0.500 0.500 0.410 1
```

Calculated values
D(E_F), states/eV/atom: 3.295
ρ, Mg/m³: 10.45
Calculated total energy, eV for the cell shown: -33.058
ΔE_f, kJ per mole of atoms: -31.2

This record from the Alexandria database describes a geometry-optimized Ce2HoHg structure. The functional is PBE.

```
data_Ce2HoHg
_symmetry_space_group_name_H-M 'F m -3 m'
_symmetry_Int_Tables_number 225
_symmetry_space_group_name_Hall '-F 4 2 3'
_cell_length_a 7.698
_cell_length_b 7.698
_cell_length_c 7.698
_cell_angle_alpha 90.00
_cell_angle_beta 90.00
_cell_angle_gamma 90.00
loop_
_atom_site_label
_atom_site_type_symbol
_atom_site_fract_x
_atom_site_fract_y
_atom_site_fract_z
_atom_site_occupancy
Ce1 Ce 0.250 0.250 0.250 1
Ho1 Ho 0.000 0.000 0.000 1
Hg1 Hg 0.000 0.000 0.500 1
```

Calculated values
D(E_F), states/eV/atom: 3.095
ρ, Mg/m³: 9.40
Calculated total energy, eV for the cell shown: -66.435
ΔE_f, kJ per mole of atoms: 3.3
Polymorph energy (0 for the lowest one), meV/atom: 149.8

This record from the Alexandria database describes a geometry-optimized CeHo3Hg6 structure. The functional is PBE.

```
data_CeHo3Hg6
_symmetry_space_group_name_H-M 'P 1 21/m 1'
_symmetry_Int_Tables_number 11
_cell_length_a 9.228
_cell_length_b 5.181
_cell_length_c 11.197
_cell_angle_alpha 90.00
_cell_angle_beta 106.86
_cell_angle_gamma 90.00
loop_
_symmetry_equiv_pos_as_xyz
'x,y,z'
'-x,-y,-z'
'-x,y+1/2,-z'
'x,-y+1/2,z'
loop_
_atom_site_label
_atom_site_type_symbol
_atom_site_fract_x
_atom_site_fract_y
_atom_site_fract_z
_atom_site_occupancy
Ce1 Ce 0.067 0.250 0.384 1
Ho1 Ho 0.232 0.250 0.004 1
Ho2 Ho 0.352 0.750 0.805 1
Ho3 Ho 0.488 0.250 0.612 1
Hg1 Hg 0.063 0.750 0.910 1
Hg2 Hg 0.143 0.750 0.208 1
Hg3 Hg 0.175 0.250 0.692 1
Hg4 Hg 0.253 0.750 0.521 1
Hg5 Hg 0.360 0.250 0.292 1
Hg6 Hg 0.466 0.750 0.094 1
```

Calculated values
D(E_F), states/eV/atom: 1.286
ρ, Mg/m³: 11.92
Calculated total energy, eV for the cell shown: -50.758
ΔE_f, kJ per mole of atoms: -37.6